1.
CrHWAu: optimized geometry, GGA-PBE.

Calculated values
**Calculated total energy**: -28.3 eV for the cell shown
**Size of the total moment**: 0.00 μB per cell

The structure in extended XYZ format:
```
4
Lattice="-2.583 0.921 0.461 1.081 -1.410 2.141 3.547 6.116 1.448" Properties=species:S:1:pos:R:3 pbc="T T T"
Cr -0.652 1.642 2.091
H 0.973 2.181 1.352
W 3.978 4.951 3.644
Au 1.805 3.731 2.157
```

=====

2.
Ba3HgBi: optimized geometry, GGA-PBE.

Calculated values
**Formation energy from the elements**: -0.523 eV per atom
**Calculated total energy**: -25.1 eV for the cell shown
**Size of the total moment**: 0.00 μB per cell

The structure in extended XYZ format:
```
10
Lattice="4.866 -0.001 -0.001 0.002 10.446 0.430 0.003 4.035 9.653" Properties=species:S:1:pos:R:3 pbc="T T T"
Ba 4.207 7.466 8.101
Ba 4.208 13.059 6.902
Ba 4.199 6.629 0.686
Ba 1.769 0.936 1.007
Ba 4.200 9.859 4.665
Ba 1.770 5.112 3.919
Hg 1.766 8.245 2.675
Hg 1.774 5.040 7.289
Bi 1.771 10.262 7.503
Bi 4.202 3.022 2.464
```

=====

3.
MgSb2Pb: optimized geometry, GGA-PBE.

Calculated values
**Formation energy without anion corrections**: -0.059 eV per atom
**Calculated total energy**: -13.8 eV for the cell shown
**Size of the total moment**: 0.00 μB per cell

The structure in extended XYZ format:
```
4
Lattice="6.164 0.000 0.000 0.000 3.381 -0.005 0.000 0.009 5.453" Properties=species:S:1:pos:R:3 pbc="T T T"
Pb 3.082 2.825 4.772
Sb 0.000 3.086 4.764
Sb 3.082 1.229 2.047
Mg 0.000 1.335 2.037
```

=====

no.,E above lowest polymorph (eV/atom)
1,0.000
2,0.000
3,0.000